Entry 1:
Here is an optimized crystal structure of KLiSe2O6 from Alexandria. Energies are from PBE.

Cell lengths 7.1662, 7.5509, 7.5509 Å; angles 76.85, 64.87, 64.87 degrees
Atoms (fractional coordinates):
Li: 0.2500 0.2097 0.7903
Se: 0.6502 0.2266 0.3501
O: 0.9511 0.4132 0.8455
O: 0.4289 0.3755 0.2783
K: 0.7500 0.1764 0.8236
O: 0.2025 0.9677 0.7889
O: 0.2975 0.2111 0.0323
O: 0.9289 0.2783 0.3755
Li: 0.7500 0.7903 0.2097
Se: 0.3498 0.7734 0.6499
O: 0.0489 0.5868 0.1545
O: 0.0711 0.7217 0.6245
O: 0.7025 0.7889 0.9677
Se: 0.8498 0.6499 0.7734
K: 0.2500 0.8236 0.1764
O: 0.5489 0.1545 0.5868
O: 0.5711 0.6245 0.7217
O: 0.7975 0.0323 0.2111
Se: 0.1502 0.3501 0.2266
O: 0.4511 0.8455 0.4132

Formation energy without anion corrections: -11.02 eV/f.u.
Uncorrected energy: -5.075 eV per atom
Crystal system: monoclinic

Entry 2:
Here is an optimized crystal structure of KLiSiO3 from Alexandria. Energies are from PBE.

Cell lengths 5.0744, 5.4124, 5.6911 Å; angles 118.39, 90.00, 90.00 degrees
Atoms (fractional coordinates):
Li: 0.2500 0.4174 0.8348
K: 0.7500 0.2717 0.5434
Si: 0.7500 0.9466 0.8933
O: 0.2500 0.2161 0.4323
O: 0.7500 0.7839 0.5677
O: 0.5000 0.2144 0.0000
K: 0.2500 0.7283 0.4566
O: 0.0000 0.2144 0.0000
O: 0.5000 0.7856 0.0000
Si: 0.2500 0.0534 0.1067
Li: 0.7500 0.5826 0.1652
O: 0.0000 0.7856 0.0000

Formation energy without anion corrections: -13.88 eV/f.u.
Uncorrected energy: -6.199 eV per atom
Crystal system: orthorhombic

Entry 3:
Here is an optimized crystal structure of K3LiSiO4 from Alexandria. Energies are from PBE.

Cell lengths 9.9148, 11.4837, 11.4819 Å; angles 117.47, 90.00, 90.00 degrees
Atoms (fractional coordinates):
Li: 0.8813 0.2788 0.7667
O: 0.9417 0.6381 0.2359
O: 0.0583 0.3619 0.7641
K: 0.7251 0.4772 0.1573
O: 0.3016 0.6027 0.6574
O: 0.5230 0.7303 0.6254
Li: 0.1187 0.7212 0.2333
O: 0.7157 0.1422 0.2615
O: 0.7312 0.2626 0.6432
O: 0.7723 0.8433 0.3981
O: 0.0230 0.7697 0.8746
Si: 0.3712 0.7179 0.2339
K: 0.7576 0.1558 0.9778
O: 0.2157 0.3578 0.2385
O: 0.4979 0.3784 0.7815
O: 0.2843 0.8578 0.7385
Li: 0.8599 0.2720 0.2824
O: 0.9770 0.2303 0.1254
O: 0.5583 0.1381 0.7359
K: 0.9184 0.4310 0.6003
O: 0.8016 0.8973 0.8426
O: 0.0374 0.2728 0.3654
O: 0.2723 0.6567 0.1019
O: 0.9626 0.7272 0.6346
O: 0.2277 0.1567 0.6019
K: 0.2749 0.5228 0.8427
Si: 0.8712 0.7821 0.2661
Li: 0.6187 0.7788 0.2667
Si: 0.3928 0.7398 0.7205
O: 0.4626 0.7728 0.8654
K: 0.4069 0.3888 0.0454
O: 0.7277 0.3433 0.8981
K: 0.2424 0.8442 0.0222
O: 0.7688 0.7626 0.1432
K: 0.5744 0.0949 0.4434
Li: 0.6401 0.7720 0.7824
K: 0.9069 0.1112 0.4546
K: 0.4184 0.0690 0.8997
Si: 0.8928 0.7602 0.7795
K: 0.0847 0.0375 0.8912
K: 0.5816 0.9310 0.1003
O: 0.0021 0.8784 0.2815
K: 0.2251 0.0228 0.3427
O: 0.4770 0.2697 0.3746
K: 0.7424 0.6558 0.4778
K: 0.5931 0.6112 0.9546
O: 0.2312 0.2374 0.8568
O: 0.5021 0.6216 0.2185
O: 0.2688 0.7374 0.3568
Si: 0.1072 0.2398 0.2205
Li: 0.3813 0.2212 0.7333
K: 0.0931 0.8888 0.5454
O: 0.9979 0.1216 0.7185
K: 0.2576 0.3442 0.5222
O: 0.1984 0.1027 0.1574
K: 0.0816 0.5690 0.3997
Si: 0.1288 0.2179 0.7339
Si: 0.6288 0.2821 0.7661
K: 0.9153 0.9625 0.1088
K: 0.0744 0.4051 0.0566
K: 0.5847 0.4625 0.6088
K: 0.9256 0.5949 0.9434
Li: 0.3599 0.2280 0.2176
K: 0.4153 0.5375 0.3912
Li: 0.1401 0.7280 0.7176
O: 0.6984 0.3973 0.3426
Si: 0.6072 0.2602 0.2795
O: 0.7843 0.6422 0.7615
O: 0.5374 0.2272 0.1346
O: 0.4417 0.8619 0.2641
K: 0.4256 0.9051 0.5566
K: 0.7749 0.9772 0.6573

Formation energy without anion corrections: -19.18 eV/f.u.
Uncorrected energy: -5.516 eV per atom
Crystal system: monoclinic

Entry 4:
Here is an optimized crystal structure of K2LiSiO4 from Alexandria. Energies are from PBE.

Cell lengths 4.7533, 6.1665, 10.1702 Å; angles 84.83, 76.49, 67.33 degrees
Site moments in Bohr magnetons follow the coordinates.
Atoms (fractional coordinates):
O: 0.2531 0.1678 0.9083  0.21
K: 0.1724 0.0000 0.6552  0.00
Si: 0.2500 0.5000 0.5000  -0.02
O: 0.5791 0.1678 0.0917  0.21
Li: 0.0000 0.0000 0.0000  0.00
Si: 0.5000 0.0000 0.0000  -0.02
O: 0.8386 0.8322 0.9083  0.21
K: 0.5776 0.5000 0.8448  0.00
K: 0.9224 0.5000 0.1552  0.00
O: 0.1709 0.3322 0.4083  0.21
O: 0.4969 0.3322 0.5917  0.21
O: 0.9114 0.6678 0.5917  0.21
O: 0.4208 0.6678 0.4083  0.21
Li: 0.7500 0.5000 0.5000  0.00
K: 0.8276 0.0000 0.3448  0.00
O: 0.3292 0.8322 0.0917  0.21

Formation energy without anion corrections: -15.64 eV/f.u.
Uncorrected energy: -5.625 eV per atom
Crystal system: orthorhombic

Entry 5:
Here is an optimized crystal structure of K2Li2SnO4 from Alexandria. Energies are from PBE.

Cell lengths 3.3300, 6.3447, 6.2764 Å; angles 109.83, 105.38, 90.00 degrees
Atoms (fractional coordinates):
Li: 0.3187 0.0134 0.6375
O: 0.1859 0.1388 0.3718
O: 0.4849 0.2127 0.9698
O: 0.8141 0.8612 0.6282
K: 0.1392 0.5579 0.2785
O: 0.5151 0.7873 0.0302
Sn: 0.0000 0.0000 0.0000
Li: 0.6813 0.9866 0.3625
K: 0.8608 0.4421 0.7215

Formation energy without anion corrections: -15.13 eV/f.u.
Uncorrected energy: -4.999 eV per atom
Crystal system: monoclinic

Entry 6:
Here is an optimized crystal structure of K4LiSn3O8 from Alexandria. Energies are from PBE.

Cell lengths 6.6794, 7.2775, 6.6806 Å; angles 117.32, 119.99, 90.00 degrees
Atoms (fractional coordinates):
Li: 0.0000 0.5000 0.0000
K: 0.0000 0.0000 0.0000
K: 0.5000 0.0000 0.5000
O: 0.7305 0.6913 0.4609
K: 0.0000 0.0000 0.5000
O: 0.2364 0.6770 0.4729
O: 0.7043 0.6769 0.9405
Sn: 0.0000 0.5000 0.5000
O: 0.2957 0.3231 0.0595
K: 0.5000 0.0000 0.0000
O: 0.2695 0.3087 0.5391
Sn: 0.5000 0.5000 0.5000
Sn: 0.5000 0.5000 0.0000
O: 0.7636 0.3230 0.5271
O: 0.7638 0.3231 0.0595
O: 0.2362 0.6769 0.9405

Formation energy without anion corrections: -25.09 eV/f.u.
Uncorrected energy: -5.192 eV per atom
Crystal system: trigonal

Entry 7:
Here is an optimized crystal structure of KLiSnO3 from Alexandria. Energies are from PBE.

Cell lengths 3.3001, 7.5762, 7.4210 Å; angles 109.27, 90.00, 90.00 degrees
Atoms (fractional coordinates):
K: 0.7500 0.7758 0.7367
Sn: 0.2500 0.6760 0.1535
K: 0.2500 0.2242 0.2633
Li: 0.7500 0.9271 0.4014
O: 0.2500 0.8129 0.4406
O: 0.7500 0.8406 0.1240
Sn: 0.7500 0.3240 0.8465
O: 0.2500 0.1594 0.8760
O: 0.7500 0.4793 0.1467
Li: 0.2500 0.0729 0.5986
O: 0.2500 0.5207 0.8533
O: 0.7500 0.1870 0.5594

Formation energy without anion corrections: -10.29 eV/f.u.
Uncorrected energy: -5.363 eV per atom
Crystal system: monoclinic

Entry 8:
Here is an optimized crystal structure of K3LiSn3O8 from Alexandria. Energies are from PBE.

Cell lengths 6.4345, 6.4351, 7.2515 Å; angles 116.36, 90.00, 120.00 degrees
Atoms (fractional coordinates):
Sn: 0.5000 0.5000 0.5000
O: 0.2321 0.4642 0.6708
K: 0.5000 0.5000 0.0000
O: 0.2695 0.5389 0.3084
Li: 0.0000 0.0000 0.5000
O: 0.2932 0.0612 0.3292
K: 0.0000 0.5000 0.0000
O: 0.2320 0.9388 0.6708
Sn: 0.0000 0.5000 0.5000
O: 0.7068 0.9388 0.6708
O: 0.7679 0.5358 0.3292
O: 0.7680 0.0612 0.3292
O: 0.7306 0.4611 0.6916
Sn: 0.5000 0.0000 0.5000
K: 0.0000 0.0000 0.0000

Formation energy without anion corrections: -24.94 eV/f.u.
Uncorrected energy: -5.455 eV per atom
Crystal system: trigonal